NaZnBiPt | PBE | optimized geometry

Output
uncorrected energy	-0.1188	Ha/atom
ΔE to the lowest computed polymorph	0.38	eV per formula unit

```
data_NaZnBiPt
_chemical_formula_sum 'Na4 Zn4 Bi4 Pt4'
_cell_length_a 6.8958
_cell_length_b 6.8958
_cell_length_c 6.8958
_cell_angle_alpha 90.00
_cell_angle_beta 90.00
_cell_angle_gamma 90.00
_space_group_name_H-M_alt 'F -4 3 m'
_space_group_IT_number 216
_space_group_name_Hall 'F -4 2 3'
loop_
_atom_site_label
_atom_site_type_symbol
_atom_site_fract_x
_atom_site_fract_y
_atom_site_fract_z
_atom_site_occupancy
Na1 Na 0.0000 0.0000 0.0000 1
Zn1 Zn 0.2500 0.2500 0.7500 1
Bi1 Bi 0.0000 0.0000 0.5000 1
Pt1 Pt 0.2500 0.2500 0.2500 1
```